## AcNd3Dy7 (PBE)

Data for an optimized crystal structure of AcNd3Dy7.

Energy relative to the elements: 0.217 eV/atom
Crystal system: monoclinic
Energy above the lowest structure with this stoichiometry: 20.3 meV/atom
Magnetization: 0.0 Bohr magnetons per cell

Unit cell a=11.7408 b=10.0197 c=6.5617 alpha=90.00 beta=94.93 gamma=90.00
Space group C2/m (No. 12)
Asymmetric unit:
Ac 0.0000 0.0000 0.0000
Nd 0.0000 0.3238 0.5000
Nd 0.0000 0.5000 0.0000
Dy 0.0000 0.0000 0.5000
Dy 0.2350 0.5000 0.6999
Dy 0.2472 0.1723 0.7594